## i
DFT (PBE) results for an optimized crystal structure of Nd2Y5In.

Properties
**Space group**: No. 2

Cell lengths 12.444, 15.744, 11.473 Å; angles 38.49, 74.15, 109.84 degrees
Element x y z (fractional)
Nd: 0.500 0.000 0.000
Nd: 0.500 0.500 0.000
Nd: 0.500 0.500 0.500
Nd: 0.000 0.500 0.500
Y: 0.393 0.224 0.083
Y: 0.607 0.776 0.917
Y: 0.078 0.364 0.363
Y: 0.973 0.123 0.957
Y: 0.660 0.172 0.451
Y: 0.254 0.422 0.897
Y: 0.746 0.578 0.103
Y: 0.027 0.877 0.043
Y: 0.340 0.828 0.549
Y: 0.922 0.636 0.637
In: 0.798 0.147 0.208
In: 0.202 0.853 0.792

## ii
DFT (PBE) results for an optimized crystal structure of Nd2Y5In.

Properties
**Space group**: No. 139

Cell lengths 7.069, 7.069, 7.118 Å; angles 119.77, 119.77, 90.00 degrees
Element x y z (fractional)
Nd: 0.222 0.722 0.444
Nd: 0.722 0.222 0.444
Y: 0.722 0.222 0.944
Y: 0.222 0.222 0.944
Y: 0.722 0.722 0.944
Y: 0.222 0.722 0.944
Y: 0.722 0.722 0.444
In: 0.222 0.222 0.445

Which of them is the least stable? Correct choice: i.

## i
DFT (PBE) results for an optimized crystal structure of Nd6Y2In.

Properties
**Space group**: No. 72

Cell lengths 6.439, 11.462, 11.462 Å; angles 47.73, 106.34, 106.34 degrees
Element x y z (fractional)
Nd: 0.716 0.507 0.651
Nd: 0.784 0.349 0.493
Nd: 0.284 0.493 0.349
Nd: 0.216 0.651 0.507
Nd: 0.918 0.918 0.418
Nd: 0.582 0.582 0.082
Nd: 0.082 0.082 0.582
Nd: 0.418 0.418 0.918
Nd: 0.058 0.850 0.993
Nd: 0.442 0.007 0.150
Nd: 0.942 0.150 0.007
Nd: 0.558 0.993 0.850
Y: 0.582 0.827 0.673
Y: 0.918 0.327 0.173
Y: 0.418 0.173 0.327
Y: 0.082 0.673 0.827
In: 0.250 0.250 0.750
In: 0.750 0.750 0.250

## ii
DFT (PBE) results for an optimized crystal structure of Nd6Y2In.

Properties
**Space group**: No. 136

Cell lengths 4.967, 10.941, 10.940 Å; angles 90.00, 90.01, 90.00 degrees
Element x y z (fractional)
Nd: 0.000 0.993 0.166
Nd: 0.000 0.666 0.493
Nd: 0.000 0.660 0.840
Nd: 0.500 0.160 0.660
Nd: 0.500 0.166 0.007
Nd: 0.500 0.493 0.334
Nd: 0.000 0.007 0.834
Nd: 0.000 0.334 0.507
Nd: 0.000 0.340 0.160
Nd: 0.500 0.840 0.340
Nd: 0.500 0.834 0.993
Nd: 0.500 0.507 0.666
Y: 0.000 0.341 0.841
Y: 0.500 0.841 0.659
Y: 0.500 0.159 0.341
Y: 0.000 0.659 0.159
In: 0.500 0.500 0.000
In: 0.000 0.000 0.500

Which of them is the least stable? Correct choice: i.